# 1
The following is a PBE calculation of an optimized crystal structure of CaVMo3, from the Alexandria database.

DFT total energy   -30.16 eV for the cell shown
V   19.223 A^3/atom
Density   6.55 g/cm3
Crystal system   cubic
DFT formation energy   13.45 eV/f.u.
Magnetic moment   2.49 μB/cell
Energy above the most stable polymorph in this dataset   1.617 eV per atom

a b c (Å): 4.5807 4.5807 4.5807
angles (deg): 90.00 90.00 90.00
Last column: nearest neighbours and their distance in Å.
Fractional positions:
Ca: 0.0000 0.0000 0.0000  6 Mo 2.29
V: 0.5000 0.5000 0.5000  12 Mo 3.24
Mo: 0.0000 0.0000 0.5000  2 Ca 2.29
Mo: 0.0000 0.5000 0.0000  2 Ca 2.29
Mo: 0.5000 0.0000 0.0000  2 Ca 2.29

---

# 2
The following is a PBE calculation of an optimized crystal structure of HfAsN2O, from the Alexandria database.

DFT total energy   -36.76 eV for the cell shown
V   10.847 A^3/atom
Density   9.11 g/cm3
Crystal system   tetragonal
Energy relative to the elements, uncorrected   -0.110 eV per atom
Magnetic moment   0.00 μB/cell

a b c (Å): 3.8420 3.8420 3.6741
angles (deg): 90.00 90.00 90.00
Last column: nearest neighbours and their distance in Å.
Fractional positions:
Hf: 0.0000 0.0000 0.0000  8 N 2.66, 4 O 2.72
As: 0.5000 0.5000 0.5000  2 O 1.84, 4 N 1.92
N: 0.0000 0.5000 0.5000  2 As 1.92
N: 0.5000 0.0000 0.5000  2 As 1.92
O: 0.5000 0.5000 0.0000  2 As 1.84

---

# 3
The following is a PBE calculation of an optimized crystal structure of Nd12BiRu5, from the Alexandria database.

DFT total energy   -112.38 eV for the cell shown
V   28.223 A^3/atom
Density   7.99 g/cm3
Crystal system   orthorhombic
DFT formation energy   -4.91 eV/f.u.
Magnetic moment   0.00 μB/cell

a b c (Å): 8.7171 8.7171 8.7171
angles (deg): 112.33 110.59 105.56
Last column: nearest neighbours and their distance in Å.
Fractional positions:
Nd: 0.0329 0.2225 0.8104  2 Ru 2.76-3.01
Nd: 0.1789 0.2799 0.4588  4 Ru 3.06-3.25
Nd: 0.1789 0.7201 0.8990  4 Ru 3.06-3.25
Nd: 0.3254 0.0093 0.6839  3 Ru 2.80-3.04
Nd: 0.3254 0.6415 0.3161  3 Ru 2.80-3.04
Nd: 0.4122 0.2225 0.1896  2 Ru 2.76-3.01
Nd: 0.5878 0.7775 0.8104  2 Ru 2.76-3.01
Nd: 0.6746 0.3585 0.6839  3 Ru 2.80-3.04
Nd: 0.6746 0.9907 0.3161  3 Ru 2.80-3.04
Nd: 0.8211 0.2799 0.1010  4 Ru 3.06-3.25
Nd: 0.8211 0.7201 0.5412  4 Ru 3.06-3.25
Nd: 0.9671 0.7775 0.1896  2 Ru 2.76-3.01
Bi: 0.5000 0.5000 0.0000  12 Nd 3.48-3.84
Ru: 0.0000 0.0000 0.0000  8 Nd 3.01-3.25, 2 Ru 3.33
Ru: 0.1210 0.6210 0.5000  1 Ru 2.55, 2 Nd 2.80
Ru: 0.3354 0.0000 0.3354  6 Nd 2.76-3.04
Ru: 0.6646 0.0000 0.6646  6 Nd 2.76-3.04
Ru: 0.8790 0.3790 0.5000  1 Ru 2.55, 2 Nd 2.80